# 1
{"formula": "Cs2NiC2O6", "functional": "GGA+U", "state": "optimized geometry", "cell": [[-4.0768, 0.4692, 2.8484], [-1.6635, -1.8757, -6.4524], [2.4783, -5.1039, 4.3879]], "species": ["O", "O", "O", "O", "O", "O", "C", "C", "Cs", "Cs", "Ni"], "fractional_positions": [[0.2837, 0.1174, 0.7298], [0.1662, 0.8826, 0.2702], [0.8906, 0.7812, 0.6568], [0.8338, 0.1174, 0.7298], [0.7163, 0.8826, 0.2702], [0.1094, 0.2188, 0.3432], [0.0012, 0.0025, 0.2984], [0.9988, 0.9975, 0.7016], [0.3115, 0.6230, 0.8120], [0.6885, 0.3770, 0.1880], [0.5000, 0.0000, 0.5000]]}


# 2
{"formula": "CsNiC2O6", "functional": "GGA+U", "state": "optimized geometry", "cell": [[6.5166, 0.1470, -0.1356], [-0.6520, 6.4856, -0.1356], [-1.8540, -2.0967, 6.9385]], "species": ["O", "O", "O", "O", "O", "O", "O", "O", "O", "O", "O", "O", "C", "C", "C", "C", "Cs", "Cs", "Ni", "Ni"], "fractional_positions": [[0.7377, 0.4189, 0.5409], [0.6861, 0.6838, 0.7806], [0.4189, 0.7377, 0.0409], [0.3437, 0.9821, 0.7367], [0.5811, 0.2623, 0.9591], [0.0179, 0.6563, 0.7633], [0.6838, 0.6861, 0.2806], [0.3139, 0.3162, 0.2194], [0.9821, 0.3437, 0.2367], [0.2623, 0.5811, 0.4591], [0.3162, 0.3139, 0.7194], [0.6563, 0.0179, 0.2633], [0.8128, 0.5877, 0.6929], [0.1872, 0.4123, 0.3071], [0.5877, 0.8128, 0.1929], [0.4123, 0.1872, 0.8071], [0.1054, 0.8946, 0.2500], [0.8946, 0.1054, 0.7500], [0.6463, 0.3537, 0.2500], [0.3537, 0.6463, 0.7500]]}


no.,uncorrected energy (eV/f.u.)
1,-69.0
2,-64.7